[1]
This record from the Alexandria database describes crystalline MoRh4W at its relaxed geometry. The functional is PBE.

POSCAR file:
```
MoRh4W
1.0
-1.840 -4.676 0.504
-4.943 -0.847 -0.598
-1.659 -2.512 -4.055
Rh Mo W
4 1 1
direct
0.625 0.625 0.125 Rh
0.625 0.125 0.625 Rh
0.625 0.625 0.625 Rh
0.125 0.625 0.625 Rh
0.000 0.000 0.000 Mo
0.250 0.250 0.250 W
```

***

[2]
This record from the Alexandria database describes crystalline Mo4RhW at its relaxed geometry. The functional is PBE.

POSCAR file:
```
Mo4RhW
1.0
4.537 0.184 2.452
2.515 4.485 0.441
0.357 2.317 4.598
Rh W Mo
1 1 4
direct
0.750 0.750 0.750 Rh
0.000 0.000 0.000 W
0.374 0.374 0.374 Mo
0.374 0.374 0.878 Mo
0.878 0.374 0.374 Mo
0.374 0.878 0.374 Mo
```

***

[3]
This record from the Alexandria database describes crystalline MoRhW2 at its relaxed geometry. The functional is PBE.

POSCAR file:
```
MoRhW2
1.0
3.192 0.000 0.000
0.000 3.192 0.000
0.000 0.000 6.200
Rh Mo W
1 1 2
direct
0.500 0.500 0.759 Rh
0.000 0.000 0.488 Mo
0.000 0.000 0.002 W
0.500 0.500 0.251 W
```

***

[4]
This record from the Alexandria database describes crystalline MoRh3W at its relaxed geometry. The functional is PBE.

POSCAR file:
```
MoRh3W
1.0
-3.627 -3.345 0.173
1.457 -5.033 3.697
-3.978 0.925 4.944
Rh Mo W
6 2 2
direct
0.481 0.343 0.694 Rh
0.981 0.194 0.843 Rh
0.000 0.000 0.500 Rh
0.500 0.000 0.500 Rh
0.019 0.806 0.157 Rh
0.519 0.657 0.306 Rh
0.500 0.000 0.000 Mo
0.000 0.500 0.500 Mo
0.250 0.726 0.774 W
0.750 0.274 0.226 W
```

***

[5]
This record from the Alexandria database describes crystalline MoRh2W at its relaxed geometry. The functional is PBE.

POSCAR file:
```
MoRh2W
1.0
-2.183 0.516 -3.840
1.758 -1.747 -1.234
-2.892 -3.719 1.144
Rh Mo W
2 1 1
direct
0.000 0.125 0.949 Rh
0.500 0.125 0.299 Rh
0.500 0.625 0.797 Mo
0.000 0.625 0.454 W
```

***

[6]
This record from the Alexandria database describes crystalline MoRhW2 at its relaxed geometry. The functional is PBE.

POSCAR file:
```
MoRhW2
1.0
-0.156 2.730 0.153
-2.475 -0.839 -0.818
-2.523 -0.607 8.256
Mo Rh W
1 1 2
direct
0.500 0.500 0.250 Mo
0.500 0.500 0.750 Rh
0.000 0.000 0.993 W
0.000 0.000 0.507 W
```

***

Let's list magnetic moment in order: 0.000, 0.000, 0.000, 0.000, 0.000, 0.000 μB/atom.
Let's list calculated formation energy in order: 0.25, 0.31, 0.14, 0.51, -0.17, 0.01 eV per atom.
Let's list total energy in order: -8.617, -10.298, -10.881, -8.654, -9.796, -11.007 eV/atom.